# 1
Crystalline Th4HCS2 at its relaxed geometry. Source: Alexandria, functional GGA-PBE.

Lattice parameters (Å, degrees): 6.6611 3.8208 6.9218 90.00 107.04 90.00
Atoms (fractional coordinates):
Th1 0.2358 0.0000 0.2169
Th2 0.2487 0.5000 0.7734
Th3 0.7513 0.5000 0.2266
Th4 0.7642 0.0000 0.7831
H1 0.5000 0.0000 0.0000
C1 0.0000 0.5000 0.0000
S1 0.0000 0.0000 0.5000
S2 0.5000 0.5000 0.5000

Calculated values
**Spin magnetization**: 0.00 μB/f.u.
**Raw total energy**: -7.37 eV per atom

# 2
Crystalline Hg2SbIr at its relaxed geometry. Source: Alexandria, functional GGA-PBE.

Lattice parameters (Å, degrees): 5.2266 5.2266 5.2266 129.59 129.59 74.06
Atoms (fractional coordinates):
Hg1 0.0000 0.0000 0.0000
Hg2 0.7500 0.2500 0.5000
Sb1 0.5000 0.5000 0.0000
Ir1 0.2500 0.7500 0.5000

Calculated values
**Spin magnetization**: 0.00 μB/f.u.
**Raw formation energy**: 0.471 eV per atom
**Raw total energy**: -2.93 eV per atom

# 3
Crystalline MoSe3 at its relaxed geometry. Source: Alexandria, functional GGA-PBE.

Lattice parameters (Å, degrees): 4.7283 4.7283 4.7283 109.47 109.47 109.47
Atoms (fractional coordinates):
Mo1 0.0000 0.0000 0.0000
Se1 0.0000 0.5000 0.5000
Se2 0.5000 0.0000 0.5000
Se3 0.5000 0.5000 0.0000

Calculated values
**Spin magnetization**: 2.04 μB/f.u.
**Raw formation energy**: 0.384 eV per atom
**Raw total energy**: -4.94 eV per atom

# 4
Crystalline SbAs2Pt2 at its relaxed geometry. Source: Alexandria, functional GGA-PBE.

Lattice parameters (Å, degrees): 7.4604 7.4604 7.4604 149.96 149.96 43.00
Atoms (fractional coordinates):
Sb1 0.0000 0.0000 0.0000
As1 0.3752 0.3752 0.0000
As2 0.6248 0.6248 0.0000
Pt1 0.2500 0.7500 0.5000
Pt2 0.7500 0.2500 0.5000

Calculated values
**Spin magnetization**: 0.00 μB/f.u.
**Raw formation energy**: 0.005 eV per atom
**Raw total energy**: -5.10 eV per atom

# 5
Crystalline RbCoN2 at its relaxed geometry. Source: Alexandria, functional GGA-PBE.

Lattice parameters (Å, degrees): 6.8542 6.8542 6.8542 26.62 26.62 26.62
Atoms (fractional coordinates):
Rb1 0.0000 0.0000 0.0000
Co1 0.5000 0.5000 0.5000
N1 0.1291 0.1291 0.1291
N2 0.8709 0.8709 0.8709

Calculated values
**Spin magnetization**: 0.58 μB/f.u.
**Raw formation energy**: 0.941 eV per atom
**Distance to the lowest polymorph of the same formula**: 14.68 kcal/mol of atoms
**Raw total energy**: -5.24 eV per atom

# 6
Crystalline Ac2Sm8Y at its relaxed geometry. Source: Alexandria, functional GGA-PBE.

Lattice parameters (Å, degrees): 10.5575 10.5575 5.7400 93.03 93.03 39.56
Atoms (fractional coordinates):
Ac1 0.2186 0.2186 0.2589
Ac2 0.7814 0.7814 0.7411
Sm1 0.0439 0.0439 0.2341
Sm2 0.1132 0.6419 0.2679
Sm3 0.3234 0.3234 0.7761
Sm4 0.3581 0.8868 0.7321
Sm5 0.6419 0.1132 0.2679
Sm6 0.6766 0.6766 0.2239
Sm7 0.8868 0.3581 0.7321
Sm8 0.9561 0.9561 0.7659
Y1 0.5000 0.5000 0.0000

Calculated values
**Formation energy**: 0.196 eV per atom
**Spin magnetization**: 0.00 μB/f.u.
**Distance to the lowest polymorph of the same formula**: 3.71 kcal/mol of atoms
**Raw total energy**: -4.57 eV per atom

# 7
Crystalline LiNd3S2Cl6 at its relaxed geometry. Source: Alexandria, functional GGA-PBE.

Lattice parameters (Å, degrees): 7.9723 7.9723 6.1523 91.32 91.32 62.32
Atoms (fractional coordinates):
Li1 0.0000 0.0000 0.0000
Nd1 0.0000 0.5000 0.0000
Nd2 0.5000 0.0000 0.0000
Nd3 0.5000 0.5000 0.5000
S1 0.3297 0.3297 0.2451
S2 0.6703 0.6703 0.7549
Cl1 0.1515 0.1515 0.7764
Cl2 0.1662 0.6729 0.7498
Cl3 0.3271 0.8338 0.2502
Cl4 0.6729 0.1662 0.7498
Cl5 0.8338 0.3271 0.2502
Cl6 0.8485 0.8485 0.2236

Calculated values
**Spin magnetization**: 0.00 μB/f.u.
**Raw formation energy**: -2.054 eV per atom
**Raw total energy**: -5.02 eV per atom

# 8
Crystalline YCr2Ir at its relaxed geometry. Source: Alexandria, functional GGA-PBE.

Lattice parameters (Å, degrees): 3.1355 3.1355 6.8932 90.00 90.00 90.00
Atoms (fractional coordinates):
Y1 0.0000 0.0000 0.0000
Cr1 0.0000 0.0000 0.4902
Cr2 0.5000 0.5000 0.3338
Ir1 0.5000 0.5000 0.7311

Calculated values
**Formation energy**: 0.091 eV per atom
**Spin magnetization**: 0.05 μB/f.u.
**Distance to the lowest polymorph of the same formula**: 0.14 kcal/mol of atoms
**Raw total energy**: -8.55 eV per atom